Record 1
Computed, not measured: Cd3Ni after structural relaxation at the GGA-PBEsol level of DFT.

Its energy of formation is 4 kJ/mol of formula units. As for the density: 9.00 g/cm³. The calculation puts the total energy at -9.7 eV/f.u. The value obtained for the density of states at the Fermi level is 0.49 states/eV per atom.

The space group is Pnma (No. 62) and the conventional cell measures 7.318, 8.033 and 4.969 Å, with angles of 90.00, 90.00 and 90.00 degrees. The distinct sites, in fractional coordinates, are Cd at (0.017, 0.250, 0.091), Cd at (0.169, 0.061, 0.602) and Ni at (0.134, 0.750, 0.423).

=====

Record 2
Computed, not measured: LaAs3S after structural relaxation at the GGA-PBEsol level of DFT.

As for the density: 3.80 g/cm³. The calculation puts the total energy at -19.3 eV/f.u. The value obtained for the density of states at the Fermi level is 1.15 states/eV per atom.

The space group is Pm-3m (No. 221) and the conventional cell measures 5.572, 5.572 and 5.572 Å, with angles of 90.00, 90.00 and 90.00 degrees. The distinct sites, in fractional coordinates, are La at (0.000, 0.000, 0.000), As at (0.000, 0.000, 0.500) and S at (0.500, 0.500, 0.500).

=====

Record 3
Computed, not measured: Tl2PtPb after structural relaxation at the GGA-PBEsol level of DFT.

Its energy of formation is -8 kJ/mol of formula units. As for the density: 13.85 g/cm³. The calculation puts the total energy at -16.3 eV/f.u. The value obtained for the density of states at the Fermi level is 0.45 states/eV per atom.

The space group is P4mm (No. 99) and the conventional cell measures 3.376, 3.376 and 8.533 Å, with angles of 90.00, 90.00 and 90.00 degrees. The distinct sites, in fractional coordinates, are Tl at (0.000, 0.000, 0.000), Tl at (0.500, 0.500, 0.286), Pt at (0.500, 0.500, 0.798) and Pb at (0.000, 0.000, 0.604).

=====

Record 4
Computed, not measured: Li2BePb after structural relaxation at the GGA-PBEsol level of DFT.

Its energy of formation is 19 kJ/mol of formula units. As for the density: 5.96 g/cm³. The calculation puts the total energy at -11.7 eV/f.u. The value obtained for the density of states at the Fermi level is 0.41 states/eV per atom.

The space group is I4/mmm (No. 139) and the conventional cell measures 3.898, 3.898 and 8.437 Å, with angles of 90.00, 90.00 and 90.00 degrees. The distinct sites, in fractional coordinates, are Li at (0.000, 0.500, 0.250), Be at (0.000, 0.000, 0.000) and Pb at (0.000, 0.000, 0.500).

=====

Record 5
Computed, not measured: NaGa3 after structural relaxation at the GGA-PBEsol level of DFT.

Its energy of formation is -6 kJ/mol of formula units. As for the density: 5.22 g/cm³. The calculation puts the total energy at -11.5 eV/f.u. The value obtained for the density of states at the Fermi level is 0.37 states/eV per atom.

The space group is Pm-3m (No. 221) and the conventional cell measures 4.194, 4.194 and 4.194 Å, with angles of 90.00, 90.00 and 90.00 degrees. The distinct sites, in fractional coordinates, are Na at (0.000, 0.000, 0.000) and Ga at (0.000, 0.500, 0.500).

=====

Record 6
Computed, not measured: Zr2ScCu after structural relaxation at the GGA-PBEsol level of DFT.

Its energy of formation is 18 kJ/mol of formula units. As for the density: 6.31 g/cm³. The calculation puts the total energy at -28.9 eV/f.u. The value obtained for the density of states at the Fermi level is 1.35 states/eV per atom.

The space group is I4/mmm (No. 139) and the conventional cell measures 4.113, 4.113 and 9.049 Å, with angles of 90.00, 90.00 and 90.00 degrees. The distinct sites, in fractional coordinates, are Zr at (0.000, 0.500, 0.250), Sc at (0.000, 0.000, 0.000) and Cu at (0.000, 0.000, 0.500).

=====

Record 7
Computed, not measured: AlP2Pb after structural relaxation at the GGA-PBEsol level of DFT.

Its energy of formation is -17 kJ/mol of formula units. As for the density: 4.91 g/cm³. The calculation puts the total energy at -19.9 eV/f.u. The value obtained for the density of states at the Fermi level is 0.60 states/eV per atom.

The space group is I-42d (No. 122) and the conventional cell measures 5.904, 5.904 and 11.481 Å, with angles of 90.00, 90.00 and 90.00 degrees. The distinct sites, in fractional coordinates, are Al at (0.000, 0.000, 0.000), P at (0.195, 0.250, 0.125) and Pb at (0.000, 0.000, 0.500).

=====

Record 8
Computed, not measured: SrTa2Bi2O9 after structural relaxation at the GGA-PBEsol level of DFT.

As for the density: 9.00 g/cm³. The calculation puts the total energy at -116.3 eV/f.u. The value obtained for the density of states at the Fermi level is 0.00 states/eV per atom.

The space group is I4/mmm (No. 139) and the conventional cell measures 3.901, 3.901 and 24.521 Å, with angles of 90.00, 90.00 and 90.00 degrees. The distinct sites, in fractional coordinates, are Sr at (0.000, 0.000, 0.000), Ta at (0.000, 0.000, 0.414), Bi at (0.000, 0.000, 0.200), O at (0.000, 0.000, 0.337), O at (0.000, 0.000, 0.500), O at (0.000, 0.500, 0.077) and O at (0.000, 0.500, 0.250).

=====

Record 9
Computed, not measured: Tl3Br after structural relaxation at the GGA-PBEsol level of DFT.

As for the density: 10.04 g/cm³. The calculation puts the total energy at -10.9 eV/f.u. The value obtained for the density of states at the Fermi level is 0.40 states/eV per atom.

The space group is Pmm2 (No. 25) and the conventional cell measures 3.663, 5.594 and 5.597 Å, with angles of 90.00, 90.00 and 90.00 degrees. The distinct sites, in fractional coordinates, are Tl at (0.000, 0.000, 0.000), Tl at (0.000, 0.500, 0.498), Tl at (0.500, 0.500, 0.998) and Br at (0.500, 0.000, 0.500).

=====

Record 10
Computed, not measured: BeBrO3 after structural relaxation at the GGA-PBEsol level of DFT.

As for the density: 3.80 g/cm³. The calculation puts the total energy at -18.1 eV/f.u. The value obtained for the density of states at the Fermi level is 0.28 states/eV per atom.

The space group is Pm-3m (No. 221) and the conventional cell measures 3.911, 3.911 and 3.911 Å, with angles of 90.00, 90.00 and 90.00 degrees. The distinct sites, in fractional coordinates, are Be at (0.000, 0.000, 0.000), Br at (0.500, 0.500, 0.500) and O at (0.000, 0.500, 0.500).

=====

Record 11
Computed, not measured: Zr2Si2Os after structural relaxation at the GGA-PBEsol level of DFT.

As for the density: 8.73 g/cm³. The calculation puts the total energy at -46.5 eV/f.u. The value obtained for the density of states at the Fermi level is 0.38 states/eV per atom.

The space group is P4/mbm (No. 127) and the conventional cell measures 6.292, 6.292 and 4.119 Å, with angles of 90.00, 90.00 and 90.00 degrees. The distinct sites, in fractional coordinates, are Zr at (0.174, 0.326, 0.000), Si at (0.135, 0.635, 0.500) and Os at (0.000, 0.000, 0.500).

=====

Record 12
Computed, not measured: MgIn2Bi after structural relaxation at the GGA-PBEsol level of DFT.

Its energy of formation is 4 kJ/mol of formula units. As for the density: 7.17 g/cm³. The calculation puts the total energy at -11.9 eV/f.u. The value obtained for the density of states at the Fermi level is 0.45 states/eV per atom.

The space group is Fm-3m (No. 225) and the conventional cell measures 7.540, 7.540 and 7.540 Å, with angles of 90.00, 90.00 and 90.00 degrees. The distinct sites, in fractional coordinates, are Mg at (0.000, 0.000, 0.000), In at (0.250, 0.250, 0.250) and Bi at (0.000, 0.000, 0.500).

=====

Record 13
Computed, not measured: TiZnFeAu2 after structural relaxation at the GGA-PBEsol level of DFT.

Its energy of formation is 461 kJ/mol of formula units. As for the density: 9.54 g/cm³. The calculation puts the total energy at -21.9 eV/f.u. The value obtained for the density of states at the Fermi level is 0.81 states/eV per atom.

The space group is P4/mmm (No. 123) and the conventional cell measures 4.904, 4.904 and 4.075 Å, with angles of 90.00, 90.00 and 90.00 degrees. The distinct sites, in fractional coordinates, are Ti at (0.000, 0.000, 0.000), Zn at (0.500, 0.500, 0.500), Fe at (0.000, 0.000, 0.500) and Au at (0.000, 0.500, 0.000).

=====

Record 14
Computed, not measured: AlMoBr after structural relaxation at the GGA-PBEsol level of DFT.

As for the density: 5.84 g/cm³. The calculation puts the total energy at -14.0 eV/f.u. The value obtained for the density of states at the Fermi level is 1.12 states/eV per atom.

The space group is F-43m (No. 216) and the conventional cell measures 6.134, 6.134 and 6.134 Å, with angles of 90.00, 90.00 and 90.00 degrees. The distinct sites, in fractional coordinates, are Al at (0.000, 0.000, 0.000), Mo at (0.000, 0.000, 0.500) and Br at (0.250, 0.250, 0.750).